Entry from OQMD: an optimized crystal structure of YCo4Ag3O12 (PBE+U).

## Properties
V in Å³/cell: 401.7
Crystal system: cubic
Total DFT energy (no corrections) in eV/atom: -5.6462

a = 7.3782 Å, b = 7.3782 Å, c = 7.3782 Å
α = 90.00°, β = 90.00°, γ = 90.00°
Closest atoms and distances in Å follow each position.
Space group Im-3 (No. 204)
Inequivalent atoms, fractional coordinates:
Y1 0.0000 0.0000 0.0000  12 O 2.53
Co1 0.2500 0.2500 0.2500  6 O 1.94
Ag1 0.0000 0.0000 0.5000  4 O 2.04
O1 0.0000 0.1814 0.2911  2 Co 1.94, 1 Ag 2.04